No. 1
First-principles (PBE) data for crystalline Re4C3 at its relaxed geometry, as listed in Alexandria.

Results
The energy is -10.331 eV per atom. For the energy above the most stable polymorph in this dataset, the calculation gives 90 meV/atom.

a = 4.276 Å, b = 4.276 Å, c = 4.276 Å
α = 90.00°, β = 90.00°, γ = 90.00°
Space group Pm-3m (No. 221)
Asymmetric unit:
Re1 0.000 0.000 0.000 x1
Re2 0.000 0.500 0.500 x3
C1 0.000 0.000 0.500 x3

No. 2
First-principles (PBE) data for crystalline PmZrAgOs at its relaxed geometry, as listed in Alexandria.

Results
The energy is -6.940 eV per atom.

a = 6.943 Å, b = 6.943 Å, c = 6.943 Å
α = 90.00°, β = 90.00°, γ = 90.00°
Space group F-43m (No. 216)
Asymmetric unit:
Pm1 0.000 0.000 0.000 x4
Zr1 0.000 0.000 0.500 x4
Ag1 0.250 0.250 0.750 x4
Os1 0.250 0.250 0.250 x4

No. 3
First-principles (PBE) data for crystalline MnAl2Se at its relaxed geometry, as listed in Alexandria.

Results
The energy is -5.082 eV per atom. The value obtained for the energy relative to the elements, uncorrected is -46.8 meV/atom.

a = 2.9354 Å, b = 2.9354 Å, c = 29.8516 Å
α = 90.00°, β = 90.00°, γ = 120.00°
Space group R3m (No. 160, hexagonal axes)
Asymmetric unit:
Mn1 0.0000 0.0000 0.0000 x3
Al1 0.0000 0.0000 0.4780 x3
Al2 0.0000 0.0000 0.7334 x3
Se1 0.0000 0.0000 0.2794 x3

No. 4
First-principles (PBE) data for crystalline Y2FeSb at its relaxed geometry, as listed in Alexandria.

Results
The energy is -6.374 eV per atom. The value obtained for the energy relative to the elements, uncorrected is 4.6 meV/atom.

a = 7.857 Å, b = 7.857 Å, c = 6.398 Å
α = 90.00°, β = 90.00°, γ = 90.00°
Space group I-42d (No. 122)
Asymmetric unit:
Y1 0.203 0.250 0.125 x8
Fe1 0.000 0.000 0.000 x4
Sb1 0.000 0.000 0.500 x4

No. 5
First-principles (PBE) data for crystalline La3CoCu at its relaxed geometry, as listed in Alexandria.

Results
The energy is -5.295 eV per atom. For the energy above the most stable polymorph in this dataset, the calculation gives 19 meV/atom.

a = 8.964 Å, b = 7.537 Å, c = 8.267 Å
α = 90.00°, β = 105.62°, γ = 90.00°
Space group P2_1/c (No. 14)
Asymmetric unit:
La1 0.084 0.009 0.218 x4
La2 0.321 0.149 0.622 x4
La3 0.354 0.689 0.500 x4
Co1 0.414 0.033 0.321 x4
Cu1 0.047 0.665 0.027 x4

No. 6
First-principles (PBE) data for crystalline TmMg5Rh6 at its relaxed geometry, as listed in Alexandria.

Results
The energy is -5.298 eV per atom.

a = 4.464 Å, b = 6.373 Å, c = 7.039 Å
α = 90.00°, β = 108.39°, γ = 90.00°
Space group P2/m (No. 10)
Asymmetric unit:
Tm1 0.000 0.000 0.000 x1
Mg1 0.000 0.500 0.000 x1
Mg2 0.331 0.000 0.661 x2
Mg3 0.334 0.500 0.667 x2
Rh1 0.168 0.254 0.338 x4
Rh2 0.500 0.258 0.000 x2

No. 7
First-principles (PBE) data for crystalline YScF2 at its relaxed geometry, as listed in Alexandria.

Results
The energy is -6.369 eV per atom. The value obtained for the energy relative to the elements, uncorrected is -2234.2 meV/atom. For the energy above the most stable polymorph in this dataset, the calculation gives 234 meV/atom.

a = 3.3094 Å, b = 3.3094 Å, c = 23.0342 Å
α = 90.00°, β = 90.00°, γ = 120.00°
Space group R-3m (No. 166, hexagonal axes)
Asymmetric unit:
Y1 0.0000 0.0000 0.0000 x3
Sc1 0.0000 0.0000 0.5000 x3
F1 0.0000 0.0000 0.4101 x6

No. 8
First-principles (PBE) data for crystalline Fe2CuBr at its relaxed geometry, as listed in Alexandria.

Results
The energy is -5.288 eV per atom. The value obtained for the energy relative to the elements, uncorrected is 385.9 meV/atom. For the energy above the most stable polymorph in this dataset, the calculation gives 43 meV/atom.

a = 3.293 Å, b = 3.155 Å, c = 6.479 Å
α = 90.00°, β = 90.09°, γ = 90.00°
Space group P2/m (No. 10)
Asymmetric unit:
Fe1 0.000 0.000 0.179 x2
Cu1 0.500 0.500 0.000 x1
Br1 0.000 0.500 0.500 x1